! CeH2Au | Alexandria via LeMat-Bulk | PBE | relaxed; values from VASP
&SYSTEM
  ibrav = 0, nat = 8, ntyp = 3
/
ATOMIC_SPECIES
Ce 140.12 Ce.upf
H 1.01 H.upf
Au 196.97 Au.upf
ATOMIC_POSITIONS angstrom
Ce 3.012 -3.227 3.040
Ce -0.383 -2.679 1.245
H 1.314 -1.518 2.524
H 1.315 -4.388 1.762
H 1.797 -2.205 4.874
H 0.832 -3.700 -0.588
Au 0.267 -3.606 4.411
Au 2.362 -2.299 -0.126
CELL_PARAMETERS angstrom
-2.925 -2.990 -0.275
2.899 -2.709 -1.388
2.656 -0.206 5.949
! Total magnetic moment = 1.1 μB per cell
! DOS(E_F) = 5.16 states/eV/f.u.
! Relative energy among the computed polymorphs = 0 meV/atom
! Crystal system = orthorhombic
! Calculated total energy = -0.1641 Ha/atom
! Mass density = 10.35 g cm⁻³



! LiSb2TeN | Alexandria via LeMat-Bulk | PBE | relaxed; values from VASP
&SYSTEM
  ibrav = 0, nat = 5, ntyp = 4
/
ATOMIC_SPECIES
Sb 121.76 Sb.upf
Te 127.60 Te.upf
Li 6.94 Li.upf
N 14.01 N.upf
ATOMIC_POSITIONS angstrom
Sb 0.000 2.418 0.000
Sb 2.418 0.000 0.000
Te 0.000 0.000 2.350
Li 2.418 2.418 2.350
N 0.000 0.000 0.000
CELL_PARAMETERS angstrom
4.836 0.000 0.000
0.000 4.836 0.000
0.000 0.000 4.701
! Total magnetic moment = 0.0 μB per cell
! DOS(E_F) = 2.67 states/eV/f.u.
! Relative energy among the computed polymorphs = 0 meV/atom
! Crystal system = tetragonal
! Calculated total energy = -0.1437 Ha/atom
! Formation energy without anion corrections = 415 meV/atom
! Mass density = 5.92 g cm⁻³



! LaFe3Br | Alexandria via LeMat-Bulk | PBE | relaxed; values from VASP
&SYSTEM
  ibrav = 0, nat = 5, ntyp = 3
/
ATOMIC_SPECIES
Fe 55.84 Fe.upf
Br 79.90 Br.upf
La 138.91 La.upf
ATOMIC_POSITIONS angstrom
Fe -1.596 -1.137 -1.124
Fe 0.189 -1.711 1.463
Fe -1.587 0.939 1.304
Br 0.000 0.000 0.000
La -2.994 -1.908 1.643
CELL_PARAMETERS angstrom
-3.174 1.879 2.608
-3.192 -2.273 -2.247
0.378 -3.422 2.925
! Total magnetic moment = 4.4 μB per cell
! DOS(E_F) = 12.61 states/eV/f.u.
! Relative energy among the computed polymorphs = 0 meV/atom
! Crystal system = cubic
! Calculated total energy = -0.2068 Ha/atom
! Formation energy without anion corrections = 770 meV/atom
! Mass density = 6.96 g cm⁻³



! YSiRh | Alexandria via LeMat-Bulk | PBE | relaxed; values from VASP
&SYSTEM
  ibrav = 0, nat = 3, ntyp = 3
/
ATOMIC_SPECIES
Rh 102.91 Rh.upf
Si 28.09 Si.upf
Y 88.91 Y.upf
ATOMIC_POSITIONS angstrom
Rh 0.000 0.000 0.639
Si 2.090 1.207 0.639
Y 0.000 2.414 2.558
CELL_PARAMETERS angstrom
4.181 0.000 0.000
-2.090 3.621 0.000
0.000 0.000 3.837
! Total magnetic moment = 0.0 μB per cell
! DOS(E_F) = 1.76 states/eV/f.u.
! Crystal system = hexagonal
! Calculated total energy = -0.2705 Ha/atom
! Formation energy without anion corrections = -948 meV/atom
! Mass density = 6.29 g cm⁻³



! Sc2FeAs | Alexandria via LeMat-Bulk | PBE | relaxed; values from VASP
&SYSTEM
  ibrav = 0, nat = 4, ntyp = 3
/
ATOMIC_SPECIES
As 74.92 As.upf
Fe 55.84 Fe.upf
Sc 44.96 Sc.upf
ATOMIC_POSITIONS angstrom
As 4.481 2.587 1.829
Fe 2.241 1.294 0.915
Sc 0.000 0.000 0.000
Sc 6.722 3.881 2.744
CELL_PARAMETERS angstrom
4.481 0.000 0.000
2.241 3.881 0.000
2.241 1.294 3.659
! Total magnetic moment = 0.0 μB per cell
! DOS(E_F) = 4.40 states/eV/f.u.
! Crystal system = cubic
! Calculated total energy = -0.2430 Ha/atom
! Mass density = 5.76 g cm⁻³
! DFT formation energy = -0.167 eV/atom



! Ni2TeOs | Alexandria via LeMat-Bulk | PBE | relaxed; values from VASP
&SYSTEM
  ibrav = 0, nat = 4, ntyp = 3
/
ATOMIC_SPECIES
Ni 58.69 Ni.upf
Os 190.23 Os.upf
Te 127.60 Te.upf
ATOMIC_POSITIONS angstrom
Ni 0.000 0.000 0.000
Ni -1.001 -0.896 -2.385
Os -0.671 -2.598 -0.314
Te 1.502 -1.560 -1.615
CELL_PARAMETERS angstrom
-3.174 -1.934 -1.084
1.172 0.142 -3.686
1.832 -3.262 0.456
! Total magnetic moment = 0.0 μB per cell
! DOS(E_F) = 2.62 states/eV/f.u.
! Crystal system = tetragonal
! Calculated total energy = -0.2245 Ha/atom
! Formation energy without anion corrections = 375 meV/atom
! Mass density = 12.79 g cm⁻³



! TlGa3Fe | Alexandria via LeMat-Bulk | PBE | relaxed; values from VASP
&SYSTEM
  ibrav = 0, nat = 5, ntyp = 3
/
ATOMIC_SPECIES
Tl 204.38 Tl.upf
Fe 55.84 Fe.upf
Ga 69.72 Ga.upf
ATOMIC_POSITIONS angstrom
Tl -2.497 -0.187 3.124
Fe 0.000 0.000 0.000
Ga -0.855 -1.945 0.910
Ga 0.456 0.793 2.123
Ga -2.099 0.965 0.091
CELL_PARAMETERS angstrom
-4.197 1.930 0.181
-1.710 -3.890 1.821
0.913 1.586 4.246
! Total magnetic moment = 0.1 μB per cell
! DOS(E_F) = 1.41 states/eV/f.u.
! Crystal system = cubic
! Calculated total energy = -0.1465 Ha/atom
! Mass density = 7.89 g cm⁻³
! DFT formation energy = -0.004 eV/atom



! Ta4TeAu | Alexandria via LeMat-Bulk | PBE | relaxed; values from VASP
&SYSTEM
  ibrav = 0, nat = 6, ntyp = 3
/
ATOMIC_SPECIES
Ta 180.95 Ta.upf
Te 127.60 Te.upf
Au 196.97 Au.upf
ATOMIC_POSITIONS angstrom
Ta 2.929 4.897 4.897
Ta 4.897 4.897 2.929
Ta 4.897 2.929 4.897
Ta 2.929 2.929 2.929
Te 5.870 5.870 5.870
Au 0.000 0.000 0.000
CELL_PARAMETERS angstrom
0.000 3.913 3.913
3.913 0.000 3.913
3.913 3.913 0.000
! Total magnetic moment = 0.0 μB per cell
! DOS(E_F) = 4.34 states/eV/f.u.
! Crystal system = cubic
! Calculated total energy = -0.3111 Ha/atom
! Formation energy without anion corrections = 507 meV/atom
! Mass density = 14.53 g cm⁻³



! AlTcPCl2 | Alexandria via LeMat-Bulk | PBE | relaxed; values from VASP
&SYSTEM
  ibrav = 0, nat = 5, ntyp = 4
/
ATOMIC_SPECIES
P 30.97 P.upf
Al 26.98 Al.upf
Tc 98.00 Tc.upf
Cl 35.45 Cl.upf
ATOMIC_POSITIONS angstrom
P 0.000 0.000 2.562
Al 0.000 0.000 0.000
Tc 2.265 2.265 2.562
Cl 0.000 2.265 0.000
Cl 2.265 0.000 0.000
CELL_PARAMETERS angstrom
4.530 0.000 0.000
0.000 4.530 0.000
0.000 0.000 5.124
! Total magnetic moment = 4.6 μB per cell
! DOS(E_F) = 1.26 states/eV/f.u.
! Relative energy among the computed polymorphs = 211 meV/atom
! Crystal system = tetragonal
! Calculated total energy = -0.1567 Ha/atom
! Formation energy without anion corrections = 378 meV/atom
! Mass density = 3.58 g cm⁻³



! Yb7InCo4Ge12 | Alexandria via LeMat-Bulk | PBE | relaxed; values from VASP
&SYSTEM
  ibrav = 0, nat = 24, ntyp = 4
/
ATOMIC_SPECIES
Yb 173.04 Yb.upf
In 114.82 In.upf
Co 58.93 Co.upf
Ge 72.64 Ge.upf
ATOMIC_POSITIONS angstrom
Yb -7.100 -0.505 3.818
Yb -4.250 1.412 2.702
Yb -6.361 4.315 2.301
Yb -9.210 2.398 3.416
Yb -3.654 -2.230 3.617
Yb 0.000 0.000 0.000
Yb -2.674 4.706 1.451
In -7.133 1.335 1.050
Co -6.566 -3.092 2.194
Co -7.700 5.762 -0.093
Co -11.622 1.016 2.040
Co -2.644 1.654 0.060
Ge -1.322 1.807 2.003
Ge -9.574 -0.161 1.964
Ge -6.540 -3.403 4.528
Ge -8.791 3.813 0.678
Ge -5.475 -1.144 1.422
Ge -8.935 -2.610 2.531
Ge -3.010 -0.648 0.787
Ge -6.921 7.213 1.590
Ge -11.256 3.317 1.313
Ge -5.331 5.279 -0.431
Ge -12.139 2.003 4.115
Ge -4.692 2.830 0.136
CELL_PARAMETERS angstrom
-6.154 8.271 -1.116
-8.112 -5.602 3.216
0.805 1.141 4.018
! Total magnetic moment = 1.0 μB per cell
! DOS(E_F) = 84.23 states/eV/f.u.
! Crystal system = tetragonal
! Calculated total energy = -0.1698 Ha/atom
! Mass density = 8.83 g cm⁻³
! DFT formation energy = -0.569 eV/atom



! Cs2BF6 | Alexandria via LeMat-Bulk | PBE | relaxed; values from VASP
&SYSTEM
  ibrav = 0, nat = 9, ntyp = 3
/
ATOMIC_SPECIES
Cs 132.91 Cs.upf
B 10.81 B.upf
F 19.00 F.upf
ATOMIC_POSITIONS angstrom
Cs 3.673 5.997 3.471
Cs 1.536 2.999 1.736
B 0.000 0.000 0.000
F 0.967 4.152 4.546
F 0.984 7.861 4.549
F 0.967 6.010 1.335
F 4.242 4.845 0.660
F 4.225 1.136 0.657
F 4.242 2.986 3.872
CELL_PARAMETERS angstrom
5.147 -0.023 -0.013
0.031 6.017 0.005
0.031 3.002 5.214
! Total magnetic moment = 1.0 μB per cell
! DOS(E_F) = 9.80 states/eV/f.u.
! Crystal system = trigonal
! Calculated total energy = -0.1638 Ha/atom
! Formation energy without anion corrections = -2279 meV/atom
! Mass density = 4.02 g cm⁻³



! Ca2YSc | Alexandria via LeMat-Bulk | PBE | relaxed; values from VASP
&SYSTEM
  ibrav = 0, nat = 4, ntyp = 3
/
ATOMIC_SPECIES
Y 88.91 Y.upf
Sc 44.96 Sc.upf
Ca 40.08 Ca.upf
ATOMIC_POSITIONS angstrom
Y 3.221 0.000 1.782
Sc 1.250 2.969 1.782
Ca 0.000 0.000 0.000
Ca 4.471 2.969 0.000
CELL_PARAMETERS angstrom
6.442 0.000 0.000
2.499 5.938 0.000
-4.471 -2.969 3.564
! Total magnetic moment = 2.0 μB per cell
! DOS(E_F) = 6.88 states/eV/f.u.
! Relative energy among the computed polymorphs = 135 meV/atom
! Crystal system = tetragonal
! Calculated total energy = -0.1461 Ha/atom
! Mass density = 2.61 g cm⁻³
! DFT formation energy = 0.224 eV/atom



! CeDy3Cd6 | Alexandria via LeMat-Bulk | PBE | relaxed; values from VASP
&SYSTEM
  ibrav = 0, nat = 20, ntyp = 3
/
ATOMIC_SPECIES
Ce 140.12 Ce.upf
Dy 162.50 Dy.upf
Cd 112.41 Cd.upf
ATOMIC_POSITIONS angstrom
Ce -8.017 4.206 2.516
Ce -1.615 4.938 -2.647
Dy -4.720 2.997 1.001
Dy -4.912 6.147 -1.132
Dy -2.938 7.938 1.316
Dy -6.694 1.206 -1.446
Dy -6.262 8.999 2.810
Dy -3.370 0.145 -2.941
Cd -4.239 -0.062 0.197
Cd -5.393 9.206 -0.328
Cd -1.586 1.941 -0.419
Cd -8.046 7.203 0.288
Cd -5.523 6.086 1.936
Cd -4.109 3.057 -2.067
Cd -2.321 4.920 0.467
Cd -7.311 4.224 -0.598
Cd -7.369 1.039 1.625
Cd -2.263 8.105 -1.756
Cd -0.444 9.968 0.766
Cd -9.188 -0.824 -0.896
CELL_PARAMETERS angstrom
-1.843 0.969 -4.785
-8.339 -2.800 2.645
0.550 10.975 2.010
! Total magnetic moment = 2.3 μB per cell
! DOS(E_F) = 13.81 states/eV/f.u.
! Crystal system = monoclinic
! Calculated total energy = -0.1016 Ha/atom
! Mass density = 8.44 g cm⁻³
! DFT formation energy = -0.241 eV/atom



! Ca3Ce2DyAs6 | Alexandria via LeMat-Bulk | PBE | relaxed; values from VASP
&SYSTEM
  ibrav = 0, nat = 12, ntyp = 4
/
ATOMIC_SPECIES
Ca 40.08 Ca.upf
Ce 140.12 Ce.upf
Dy 162.50 Dy.upf
As 74.92 As.upf
ATOMIC_POSITIONS angstrom
Ca 0.755 -4.064 4.307
Ca -0.615 4.314 4.081
Ca 0.070 0.125 4.194
Ce -2.564 -2.504 2.254
Ce -3.247 1.673 2.142
Dy 0.000 0.000 0.000
As -0.176 2.295 6.313
As -2.923 -0.364 4.212
As 0.317 -2.046 2.075
As 0.509 -1.897 6.426
As 3.064 0.614 4.176
As -0.369 2.146 1.962
CELL_PARAMETERS angstrom
-3.931 5.854 2.029
-1.881 -6.686 2.367
5.952 1.081 3.992
! Total magnetic moment = 0.0 μB per cell
! DOS(E_F) = 11.11 states/eV/f.u.
! Crystal system = monoclinic
! Calculated total energy = -0.2007 Ha/atom
! Mass density = 5.29 g cm⁻³
! DFT formation energy = -1.263 eV/atom



! Ce2CdCu3 | Alexandria via LeMat-Bulk | PBE | relaxed; values from VASP
&SYSTEM
  ibrav = 0, nat = 6, ntyp = 3
/
ATOMIC_SPECIES
Ce 140.12 Ce.upf
Cd 112.41 Cd.upf
Cu 63.55 Cu.upf
ATOMIC_POSITIONS angstrom
Ce 0.177 -2.123 -0.702
Ce 0.285 -4.965 -3.704
Cd 2.588 -7.037 -2.520
Cu 2.075 -2.438 -3.061
Cu 1.881 -0.119 -2.294
Cu 2.369 -4.408 -1.651
CELL_PARAMETERS angstrom
-0.359 1.203 -3.726
3.967 0.413 -0.249
-1.144 -8.714 -0.628
! Total magnetic moment = 2.0 μB per cell
! DOS(E_F) = 13.41 states/eV/f.u.
! Crystal system = orthorhombic
! Calculated total energy = -0.1562 Ha/atom
! Mass density = 7.38 g cm⁻³
! DFT formation energy = -0.073 eV/atom



! Tl3VSe4 | Alexandria via LeMat-Bulk | PBE | relaxed; values from VASP
&SYSTEM
  ibrav = 0, nat = 8, ntyp = 3
/
ATOMIC_SPECIES
Tl 204.38 Tl.upf
V 50.94 V.upf
Se 78.96 Se.upf
ATOMIC_POSITIONS angstrom
Tl -2.274 1.608 2.786
Tl 2.274 -1.608 2.786
Tl 2.274 3.217 0.000
V 0.000 0.000 0.000
Se 2.299 0.000 0.000
Se -0.766 2.168 0.000
Se -0.766 -1.084 1.877
Se 1.508 2.133 3.694
CELL_PARAMETERS angstrom
6.823 0.000 0.000
-2.274 6.433 0.000
-2.274 -3.217 5.571
! Total magnetic moment = 0.0 μB per cell
! DOS(E_F) = 0.00 states/eV/f.u.
! Relative energy among the computed polymorphs = 0 meV/atom
! Crystal system = cubic
! Calculated total energy = -0.1588 Ha/atom
! Formation energy without anion corrections = -552 meV/atom
! Mass density = 6.65 g cm⁻³



! Pa2SnSe2N2 | Alexandria via LeMat-Bulk | PBE | relaxed; values from VASP
&SYSTEM
  ibrav = 0, nat = 7, ntyp = 4
/
ATOMIC_SPECIES
Pa 231.04 Pa.upf
Sn 118.71 Sn.upf
Se 78.96 Se.upf
N 14.01 N.upf
ATOMIC_POSITIONS angstrom
Pa 1.889 1.091 3.118
Pa 0.000 2.181 10.672
Sn 0.000 0.000 0.000
Se 0.000 0.000 4.941
Se 0.000 0.000 8.850
N 1.889 1.091 11.266
N 0.000 2.181 2.525
CELL_PARAMETERS angstrom
3.778 0.000 0.000
-1.889 3.272 0.000
0.000 0.000 13.790
! Total magnetic moment = 0.0 μB per cell
! DOS(E_F) = 2.78 states/eV/f.u.
! Crystal system = trigonal
! Calculated total energy = -0.2849 Ha/atom
! Formation energy without anion corrections = -1094 meV/atom
! Mass density = 7.47 g cm⁻³



! NaGaPb | Alexandria via LeMat-Bulk | PBE | relaxed; values from VASP
&SYSTEM
  ibrav = 0, nat = 6, ntyp = 3
/
ATOMIC_SPECIES
Pb 207.20 Pb.upf
Na 22.99 Na.upf
Ga 69.72 Ga.upf
ATOMIC_POSITIONS angstrom
Pb 5.390 -4.594 2.681
Pb 12.371 -10.545 6.153
Na 10.051 -8.567 4.999
Na 7.710 -6.572 3.835
Ga 3.106 -2.647 1.545
Ga 14.656 -12.492 7.289
CELL_PARAMETERS angstrom
4.005 -6.602 4.129
6.733 -5.586 0.386
7.024 -2.951 4.318
! Total magnetic moment = 0.0 μB per cell
! DOS(E_F) = 0.52 states/eV/f.u.
! Crystal system = trigonal
! Calculated total energy = -0.1012 Ha/atom
! Mass density = 6.15 g cm⁻³
! DFT formation energy = -0.069 eV/atom



! TaHgRu | Alexandria via LeMat-Bulk | PBE | relaxed; values from VASP
&SYSTEM
  ibrav = 0, nat = 3, ntyp = 3
/
ATOMIC_SPECIES
Hg 200.59 Hg.upf
Ru 101.07 Ru.upf
Ta 180.95 Ta.upf
ATOMIC_POSITIONS angstrom
Hg 0.000 0.000 0.023
Ru 0.000 2.608 1.222
Ta 2.259 1.304 1.738
CELL_PARAMETERS angstrom
4.517 0.000 0.000
-2.259 3.912 0.000
0.000 0.000 2.982
! Total magnetic moment = 0.0 μB per cell
! DOS(E_F) = 2.50 states/eV/f.u.
! Relative energy among the computed polymorphs = 158 meV/atom
! Crystal system = trigonal
! Calculated total energy = -0.2529 Ha/atom
! Mass density = 15.20 g cm⁻³
! DFT formation energy = 0.261 eV/atom



! SrTiSe2Br | Alexandria via LeMat-Bulk | PBE | relaxed; values from VASP
&SYSTEM
  ibrav = 0, nat = 5, ntyp = 4
/
ATOMIC_SPECIES
Sr 87.62 Sr.upf
Se 78.96 Se.upf
Br 79.90 Br.upf
Ti 47.87 Ti.upf
ATOMIC_POSITIONS angstrom
Sr 2.535 2.535 2.581
Se 0.000 2.535 0.000
Se 2.535 0.000 0.000
Br 0.000 0.000 2.581
Ti 0.000 0.000 0.000
CELL_PARAMETERS angstrom
5.069 0.000 0.000
0.000 5.069 0.000
0.000 0.000 5.163
! Total magnetic moment = 0.9 μB per cell
! DOS(E_F) = 2.32 states/eV/f.u.
! Relative energy among the computed polymorphs = 0 meV/atom
! Crystal system = tetragonal
! Calculated total energy = -0.1815 Ha/atom
! Formation energy without anion corrections = -1296 meV/atom
! Mass density = 4.67 g cm⁻³